<A>
This record from Alexandria via LeMat-Bulk describes an optimized crystal structure of MnReCl3. The functional is PBE.

ρ: 4.54 g/cm3
Magnetization: 11.00 μB per formula unit

abc: 5.0264 5.0264 5.0264
angles: 90.00 90.00 90.00
Space group Pm-3m (No. 221)
Asymmetric unit:
Mn 0.0000 0.0000 0.0000 [1 per cell]
Re 0.5000 0.5000 0.5000 [1 per cell]
Cl 0.0000 0.0000 0.5000 [3 per cell]

<B>
This record from Alexandria via LeMat-Bulk describes an optimized crystal structure of MnReCl3. The functional is PBE.

ρ: 5.24 g/cm3
Magnetization: 6.15 μB per formula unit

abc: 4.7937 4.7937 4.7937
angles: 90.00 90.00 90.00
Space group Pm-3m (No. 221)
Asymmetric unit:
Mn 0.0000 0.0000 0.0000 [1 per cell]
Re 0.5000 0.5000 0.5000 [1 per cell]
Cl 0.0000 0.5000 0.5000 [3 per cell]

Last place for stability: <B>

<A>
This record from Alexandria via LeMat-Bulk describes an optimized crystal structure of MnReSCl2. The functional is PBE.

ρ: 5.16 g/cm3
Magnetization: 5.82 μB per formula unit

abc: 4.9724 4.9724 4.4821
angles: 90.00 90.00 90.00
Space group P4/mmm (No. 123)
Asymmetric unit:
Mn 0.0000 0.0000 0.0000 [1 per cell]
Re 0.5000 0.5000 0.5000 [1 per cell]
S 0.5000 0.5000 0.0000 [1 per cell]
Cl 0.0000 0.5000 0.5000 [2 per cell]

<B>
This record from Alexandria via LeMat-Bulk describes an optimized crystal structure of MnReSCl2. The functional is PBE.

ρ: 5.08 g/cm3
Magnetization: 9.98 μB per formula unit

abc: 4.7318 4.7318 5.0222
angles: 90.00 90.00 90.00
Space group P4/mmm (No. 123)
Asymmetric unit:
Mn 0.0000 0.0000 0.0000 [1 per cell]
Re 0.5000 0.5000 0.5000 [1 per cell]
S 0.0000 0.0000 0.5000 [1 per cell]
Cl 0.0000 0.5000 0.0000 [2 per cell]

Last place for stability: <B>

<A>
This record from Alexandria via LeMat-Bulk describes an optimized crystal structure of Mn2RhCl. The functional is PBE.

ρ: 6.59 g/cm3
Magnetization: 6.70 μB per formula unit

abc: 2.9892 2.9892 6.9978
angles: 90.00 90.00 90.00
Space group P4mm (No. 99)
Asymmetric unit:
Mn 0.0000 0.0000 0.0000 [1 per cell]
Mn 0.5000 0.5000 0.2392 [1 per cell]
Rh 0.0000 0.0000 0.4267 [1 per cell]
Cl 0.5000 0.5000 0.7753 [1 per cell]

<B>
This record from Alexandria via LeMat-Bulk describes an optimized crystal structure of Mn2RhCl. The functional is PBE.

ρ: 5.69 g/cm3
Magnetization: 8.78 μB per formula unit

abc: 6.6162 6.6162 6.6232
angles: 90.00 90.00 90.00
Space group I-42d (No. 122)
Asymmetric unit:
Mn 0.2430 0.7500 0.1250 [8 per cell]
Rh 0.0000 0.0000 0.5000 [4 per cell]
Cl 0.0000 0.0000 0.0000 [4 per cell]

Last place for stability: <B>

<A>
This record from Alexandria via LeMat-Bulk describes an optimized crystal structure of Mn2RhCl. The functional is PBE.

ρ: 6.29 g/cm3
Magnetization: 9.28 μB per formula unit

abc: 10.3841 3.0611 4.1215
angles: 90.00 90.00 90.00
Space group Cm (No. 8)
Asymmetric unit:
Mn 0.0000 0.0000 0.0000 [2 per cell]
Mn 0.1777 0.5000 0.5008 [2 per cell]
Rh 0.2457 0.0000 0.0008 [2 per cell]
Cl 0.4290 0.0000 0.4991 [2 per cell]

<B>
This record from Alexandria via LeMat-Bulk describes an optimized crystal structure of Mn2RhCl. The functional is PBE.

ρ: 6.64 g/cm3
Magnetization: 6.60 μB per formula unit

abc: 2.9908 2.9911 7.0970
angles: 90.00 101.90 90.00
Space group Pm (No. 6)
Asymmetric unit:
Mn 0.0000 0.0000 0.0000 [1 per cell]
Mn 0.3822 0.5000 0.7598 [1 per cell]
Rh 0.5926 0.5000 0.1896 [1 per cell]
Cl 0.7615 0.0000 0.5268 [1 per cell]

<C>
This record from Alexandria via LeMat-Bulk describes an optimized crystal structure of Mn2RhCl. The functional is PBE.

ρ: 6.59 g/cm3
Magnetization: 8.44 μB per formula unit

abc: 3.0825 4.9093 8.2675
angles: 90.00 90.00 90.00
Space group Immm (No. 71)
Asymmetric unit:
Mn 0.0000 0.0000 0.2395 [4 per cell]
Rh 0.0000 0.5000 0.0000 [2 per cell]
Cl 0.0000 0.5000 0.5000 [2 per cell]

Last place for stability: <C>

<A>
This record from Alexandria via LeMat-Bulk describes an optimized crystal structure of Mn2RhCl. The functional is PBE.

ρ: 5.81 g/cm3
Magnetization: 9.18 μB per formula unit

abc: 3.0806 3.1756 14.5148
angles: 90.00 90.00 90.00
Space group Imm2 (No. 44)
Asymmetric unit:
Mn 0.0000 0.0000 0.0000 [2 per cell]
Mn 0.0000 0.5000 0.2700 [2 per cell]
Rh 0.0000 0.0000 0.4071 [2 per cell]
Cl 0.0000 0.5000 0.6583 [2 per cell]

<B>
This record from Alexandria via LeMat-Bulk describes an optimized crystal structure of Mn2RhCl. The functional is PBE.

ρ: 6.29 g/cm3
Magnetization: 9.22 μB per formula unit

abc: 3.6928 3.6928 9.6069
angles: 90.00 90.00 90.00
Space group I-4m2 (No. 119)
Asymmetric unit:
Mn 0.0000 0.0000 0.0000 [2 per cell]
Mn 0.0000 0.5000 0.2500 [2 per cell]
Rh 0.0000 0.5000 0.7500 [2 per cell]
Cl 0.0000 0.0000 0.5000 [2 per cell]

<C>
This record from Alexandria via LeMat-Bulk describes an optimized crystal structure of Mn2RhCl. The functional is PBE.

ρ: 5.96 g/cm3
Magnetization: 9.20 μB per formula unit

abc: 3.1460 3.0959 7.1047
angles: 90.00 90.17 90.00
Space group P2/m (No. 10)
Asymmetric unit:
Mn 0.0018 0.0000 0.2112 [2 per cell]
Rh 0.5000 0.5000 0.0000 [1 per cell]
Cl 0.0000 0.5000 0.5000 [1 per cell]

<D>
This record from Alexandria via LeMat-Bulk describes an optimized crystal structure of Mn2RhCl. The functional is PBE.

ρ: 6.36 g/cm3
Magnetization: 9.31 μB per formula unit

abc: 6.3754 6.3754 6.3754
angles: 90.00 90.00 90.00
Space group F-43m (No. 216)
Asymmetric unit:
Mn 0.0000 0.0000 0.0000 [4 per cell]
Mn 0.2500 0.2500 0.2500 [4 per cell]
Rh 0.2500 0.2500 0.7500 [4 per cell]
Cl 0.0000 0.0000 0.5000 [4 per cell]

Last place for stability: <D>

<A>
This record from Alexandria via LeMat-Bulk describes an optimized crystal structure of MnRhCl2. The functional is PBE.

ρ: 5.21 g/cm3
Magnetization: 0.00 μB per formula unit

abc: 5.3611 5.3611 10.1429
angles: 90.00 90.00 90.00
Space group I-42d (No. 122)
Asymmetric unit:
Mn 0.0000 0.0000 0.0000 [4 per cell]
Rh 0.0000 0.0000 0.5000 [4 per cell]
Cl 0.2150 0.2500 0.1250 [8 per cell]

<B>
This record from Alexandria via LeMat-Bulk describes an optimized crystal structure of MnRhCl2. The functional is PBE.

ρ: 5.40 g/cm3
Magnetization: 5.13 μB per formula unit

abc: 3.1434 3.9588 5.6575
angles: 90.00 90.00 90.00
Space group Pmmm (No. 47)
Asymmetric unit:
Mn 0.0000 0.0000 0.0000 [1 per cell]
Rh 0.5000 0.0000 0.5000 [1 per cell]
Cl 0.0000 0.5000 0.5000 [1 per cell]
Cl 0.5000 0.5000 0.0000 [1 per cell]

Last place for stability: <A>

<A>
This record from Alexandria via LeMat-Bulk describes an optimized crystal structure of MnRhS2Cl. The functional is PBE.

ρ: 4.87 g/cm3
Magnetization: 0.00 μB per formula unit

abc: 4.3168 4.3168 4.7075
angles: 90.00 90.00 90.00
Space group P4/mmm (No. 123)
Asymmetric unit:
Mn 0.0000 0.0000 0.0000 [1 per cell]
Rh 0.5000 0.5000 0.5000 [1 per cell]
S 0.0000 0.5000 0.0000 [2 per cell]
Cl 0.0000 0.0000 0.5000 [1 per cell]

<B>
This record from Alexandria via LeMat-Bulk describes an optimized crystal structure of MnRhS2Cl. The functional is PBE.

ρ: 4.16 g/cm3
Magnetization: 4.25 μB per formula unit

abc: 4.6729 4.6729 4.7107
angles: 90.00 90.00 90.00
Space group P4/mmm (No. 123)
Asymmetric unit:
Mn 0.0000 0.0000 0.0000 [1 per cell]
Rh 0.5000 0.5000 0.5000 [1 per cell]
S 0.0000 0.5000 0.5000 [2 per cell]
Cl 0.5000 0.5000 0.0000 [1 per cell]

Last place for stability: <A>

<A>
This record from Alexandria via LeMat-Bulk describes an optimized crystal structure of Mn2RuCl. The functional is PBE.

ρ: 6.91 g/cm3
Magnetization: 7.27 μB per formula unit

abc: 2.9240 4.4053 4.6000
angles: 90.00 90.00 90.00
Space group Pmmm (No. 47)
Asymmetric unit:
Mn 0.0000 0.0000 0.0000 [1 per cell]
Mn 0.5000 0.0000 0.5000 [1 per cell]
Ru 0.0000 0.5000 0.5000 [1 per cell]
Cl 0.5000 0.5000 0.0000 [1 per cell]

<B>
This record from Alexandria via LeMat-Bulk describes an optimized crystal structure of Mn2RuCl. The functional is PBE.

ρ: 6.83 g/cm3
Magnetization: 5.36 μB per formula unit

abc: 2.9343 2.9343 6.9592
angles: 90.00 90.00 90.00
Space group P4mm (No. 99)
Asymmetric unit:
Mn 0.0000 0.0000 0.0000 [1 per cell]
Mn 0.5000 0.5000 0.2450 [1 per cell]
Ru 0.0000 0.0000 0.4303 [1 per cell]
Cl 0.5000 0.5000 0.7576 [1 per cell]

Last place for stability: <A>

<A>
This record from Alexandria via LeMat-Bulk describes an optimized crystal structure of Mn2RuCl. The functional is PBE.

ρ: 6.49 g/cm3
Magnetization: 7.96 μB per formula unit

abc: 3.0558 3.0558 23.3889
angles: 90.00 90.00 120.00
Space group R-3m (No. 166, hexagonal axes)
Asymmetric unit:
Mn 0.0000 0.0000 0.2481 [6 per cell]
Ru 0.0000 0.0000 0.5000 [3 per cell]
Cl 0.0000 0.0000 0.0000 [3 per cell]

<B>
This record from Alexandria via LeMat-Bulk describes an optimized crystal structure of Mn2RuCl. The functional is PBE.

ρ: 7.06 g/cm3
Magnetization: 5.33 μB per formula unit

abc: 2.8807 2.8807 24.1954
angles: 90.00 90.00 120.00
Space group R3m (No. 160, hexagonal axes)
Asymmetric unit:
Mn 0.0000 0.0000 0.0000 [3 per cell]
Mn 0.0000 0.0000 0.2495 [3 per cell]
Ru 0.0000 0.0000 0.7427 [3 per cell]
Cl 0.0000 0.0000 0.5093 [3 per cell]

Last place for stability: <B>

<A>
This record from Alexandria via LeMat-Bulk describes an optimized crystal structure of Mn2RuCl. The functional is PBE.

ρ: 6.67 g/cm3
Magnetization: 7.92 μB per formula unit

abc: 4.0191 4.0191 7.5970
angles: 90.00 90.00 90.00
Space group I4/mmm (No. 139)
Asymmetric unit:
Mn 0.0000 0.5000 0.2500 [4 per cell]
Ru 0.0000 0.0000 0.0000 [2 per cell]
Cl 0.0000 0.0000 0.5000 [2 per cell]

<B>
This record from Alexandria via LeMat-Bulk describes an optimized crystal structure of Mn2RuCl. The functional is PBE.

ρ: 6.72 g/cm3
Magnetization: 5.20 μB per formula unit

abc: 14.4058 2.9368 2.9370
angles: 90.00 101.46 90.00
Space group Cm (No. 8)
Asymmetric unit:
Mn 0.0000 0.0000 0.0000 [2 per cell]
Mn 0.1196 0.5000 0.6167 [2 per cell]
Ru 0.2109 0.0000 0.2056 [2 per cell]
Cl 0.3807 0.0000 0.3746 [2 per cell]

Last place for stability: <A>

<A>
This record from Alexandria via LeMat-Bulk describes an optimized crystal structure of Mn2RuCl. The functional is PBE.

ρ: 6.68 g/cm3
Magnetization: 8.01 μB per formula unit

abc: 5.6560 7.3967 2.9266
angles: 90.00 90.00 90.00
Space group Cmmm (No. 65)
Asymmetric unit:
Mn 0.2500 0.2500 0.0000 [4 per cell]
Ru 0.0000 0.0000 0.5000 [2 per cell]
Cl 0.0000 0.5000 0.5000 [2 per cell]

<B>
This record from Alexandria via LeMat-Bulk describes an optimized crystal structure of Mn2RuCl. The functional is PBE.

ρ: 7.97 g/cm3
Magnetization: 0.00 μB per formula unit

abc: 5.9003 5.9003 5.9003
angles: 90.00 90.00 90.00
Space group Fm-3m (No. 225)
Asymmetric unit:
Mn 0.2500 0.2500 0.2500 [8 per cell]
Ru 0.0000 0.0000 0.0000 [4 per cell]
Cl 0.0000 0.0000 0.5000 [4 per cell]

<C>
This record from Alexandria via LeMat-Bulk describes an optimized crystal structure of Mn2RuCl. The functional is PBE.

ρ: 5.72 g/cm3
Magnetization: 8.58 μB per formula unit

abc: 2.9770 4.2527 11.3096
angles: 90.00 90.00 90.00
Space group Imm2 (No. 44)
Asymmetric unit:
Mn 0.0000 0.0000 0.0000 [2 per cell]
Mn 0.0000 0.5000 0.1638 [2 per cell]
Ru 0.0000 0.5000 0.6847 [2 per cell]
Cl 0.0000 0.0000 0.3814 [2 per cell]

Last place for stability: <B>

<A>
This record from Alexandria via LeMat-Bulk describes an optimized crystal structure of MnRu3Cl. The functional is PBE.

ρ: 7.08 g/cm3
Magnetization: 4.12 μB per formula unit

abc: 4.5196 4.5196 4.5196
angles: 90.00 90.00 90.00
Space group Pm-3m (No. 221)
Asymmetric unit:
Mn 0.0000 0.0000 0.0000 [1 per cell]
Ru 0.0000 0.0000 0.5000 [3 per cell]
Cl 0.5000 0.5000 0.5000 [1 per cell]

<B>
This record from Alexandria via LeMat-Bulk describes an optimized crystal structure of MnRu3Cl. The functional is PBE.

ρ: 8.25 g/cm3
Magnetization: 0.16 μB per formula unit

abc: 4.2941 4.2941 4.2941
angles: 90.00 90.00 90.00
Space group Pm-3m (No. 221)
Asymmetric unit:
Mn 0.0000 0.0000 0.0000 [1 per cell]
Ru 0.0000 0.5000 0.5000 [3 per cell]
Cl 0.5000 0.5000 0.5000 [1 per cell]

Last place for stability: <A>